1) CaPr2Nd6, optimized geometry, DFT GGA-PBE; total moment = 0.0 μB per cell; crystal system = monoclinic
1.0
-1.389 0.029 -3.344
8.529 -2.554 -5.444
2.067 -9.831 -2.824
Ca Pr Nd
1 2 6
direct
0.999 0.000 0.000
0.147 0.347 0.347
0.860 0.653 0.653
0.329 0.990 0.351
0.664 0.010 0.649
0.664 0.649 0.010
0.503 0.332 0.668
0.503 0.668 0.332
0.329 0.351 0.990



2) CaPr2Nd6, optimized geometry, DFT GGA-PBE; total moment = 0.0 μB per cell; crystal system = monoclinic
1.0
-1.813 2.296 -5.583
-7.436 -6.731 -0.353
-4.281 8.405 4.847
Ca Pr Nd
2 4 12
direct
0.500 0.500 0.000
0.000 0.000 0.500
0.911 0.003 0.161
0.411 0.497 0.339
0.589 0.503 0.661
0.089 0.997 0.839
0.096 0.337 0.718
0.469 0.171 0.452
0.433 0.161 0.110
0.933 0.339 0.390
0.969 0.329 0.048
0.596 0.163 0.782
0.904 0.663 0.282
0.531 0.829 0.548
0.567 0.839 0.890
0.067 0.661 0.610
0.031 0.671 0.952
0.404 0.837 0.218



What should be chosen as the least stable of them? Choose 1).



1) CaPr3Nd7, optimized geometry, DFT GGA-PBE; total moment = 0.0 μB per cell; crystal system = trigonal
1.0
8.932 0.000 0.000
0.000 7.327 0.000
0.000 -3.663 6.345
Ca Pr Nd
1 3 7
direct
0.444 0.333 0.667
0.788 0.503 0.497
0.788 0.503 0.005
0.788 0.995 0.497
0.112 0.165 0.835
0.112 0.165 0.329
0.125 0.667 0.333
0.449 0.832 0.168
0.449 0.336 0.168
0.449 0.832 0.664
0.112 0.671 0.835



2) CaPr3Nd7, optimized geometry, DFT GGA-PBE; total moment = 0.0 μB per cell; crystal system = monoclinic
1.0
6.648 -0.007 0.419
0.402 7.841 1.119
-0.036 0.048 7.930
Ca Pr Nd
1 3 7
direct
0.500 0.500 0.500
0.000 0.828 0.172
0.500 0.000 0.000
0.000 0.172 0.828
0.792 0.235 0.235
0.744 0.916 0.572
0.256 0.428 0.084
0.744 0.572 0.916
0.000 0.500 0.500
0.256 0.084 0.428
0.208 0.765 0.765



What should be chosen as the least stable of them? Choose 2).



1) CaPr2Nd3, optimized geometry, DFT GGA-PBE; total moment = 0.0 μB per cell; crystal system = orthorhombic
1.0
3.716 0.000 0.000
-1.858 9.708 0.000
0.000 0.000 12.095
Ca Pr Nd
2 4 6
direct
0.223 0.446 0.250
0.777 0.554 0.750
0.000 0.000 0.000
0.000 0.000 0.500
0.554 0.107 0.250
0.446 0.893 0.750
0.665 0.329 0.996
0.108 0.215 0.750
0.665 0.329 0.504
0.892 0.785 0.250
0.335 0.671 0.004
0.335 0.671 0.496



2) CaPr2Nd3, optimized geometry, DFT GGA-PBE; total moment = 0.0 μB per cell; crystal system = triclinic
1.0
-1.618 2.732 -1.701
-8.725 -5.113 0.076
-1.676 9.283 8.856
Ca Pr Nd
2 4 6
direct
0.130 0.276 0.118
0.870 0.724 0.882
0.872 0.370 0.878
0.128 0.630 0.122
0.408 0.038 0.842
0.592 0.962 0.158
0.140 0.138 0.609
0.860 0.862 0.391
0.383 0.526 0.366
0.617 0.474 0.634
0.869 0.210 0.380
0.131 0.790 0.620



What should be chosen as the least stable of them? Choose 2).



1) CaPrNd2, optimized geometry, DFT GGA-PBE; total moment = 0.0 μB per cell; crystal system = tetragonal
1.0
3.719 0.000 0.000
0.000 3.719 0.000
0.000 0.000 10.665
Pr Ca Nd
1 1 2
direct
0.500 0.500 0.000
0.500 0.500 0.500
0.000 0.000 0.763
0.000 0.000 0.237



2) CaPrNd2, optimized geometry, DFT GGA-PBE; total moment = 0.0 μB per cell; crystal system = cubic
1.0
-0.098 -1.078 5.819
4.813 -2.149 2.693
3.101 3.428 3.697
Pr Ca Nd
1 1 2
direct
0.000 0.000 0.000
0.500 0.500 0.500
0.250 0.250 0.250
0.750 0.750 0.750



What should be chosen as the least stable of them? Choose 2).



1) CaPrNd2, optimized geometry, DFT GGA-PBE; total moment = 0.0 μB per cell; crystal system = trigonal
1.0
3.719 0.000 0.000
1.859 3.220 0.000
1.859 1.073 12.323
Ca Pr Nd
1 1 2
direct
0.500 0.500 0.500
0.000 0.000 0.000
0.747 0.747 0.759
0.253 0.253 0.241



2) CaPrNd2, optimized geometry, DFT GGA-PBE; total moment = 0.0 μB per cell; crystal system = tetragonal
1.0
5.285 0.000 0.000
0.000 5.237 0.000
0.000 0.000 5.237
Pr Ca Nd
1 1 2
direct
0.500 0.500 0.500
0.500 0.000 0.000
0.000 0.000 0.500
0.000 0.500 0.000



What should be chosen as the least stable of them? Choose 2).



1) Ca2PrNd4, optimized geometry, DFT GGA-PBE; total moment = 0.0 μB per cell; crystal system = orthorhombic
1.0
-2.891 2.079 -0.548
-2.405 -1.996 5.107
7.947 8.907 3.707
Pr Ca Nd
1 2 4
direct
0.000 0.000 0.000
0.279 0.279 0.557
0.721 0.721 0.443
0.081 0.581 0.161
0.919 0.419 0.839
0.368 0.868 0.737
0.632 0.132 0.263



2) Ca2PrNd4, optimized geometry, DFT GGA-PBE; total moment = 1.0 μB per cell; crystal system = tetragonal
1.0
5.796 0.000 0.000
0.000 5.796 0.000
-2.898 -2.898 9.013
Ca Pr Nd
2 1 4
direct
0.627 0.627 0.253
0.373 0.373 0.747
0.000 0.000 0.000
0.827 0.827 0.654
0.173 0.173 0.346
0.000 0.500 0.000
0.500 0.000 0.000



What should be chosen as the least stable of them? Choose 2).